# 1
First-principles (PBE) data for an optimized crystal structure of Mg2MoH, as listed in Alexandria via LeMat-Bulk.

a b c (Å): 4.6145 4.6145 4.6145
angles (deg): 60.00 60.00 60.00
Site moments in Bohr magnetons follow the coordinates.
Fractional positions:
1 Mg 0.7500 0.7500 0.7500  -0.01
2 Mo 0.5000 0.5000 0.5000  2.38
3 H 0.0000 0.0000 0.0000  0.03
4 Mg 0.2500 0.2500 0.2500  -0.01

Output
ΔE to the lowest computed polymorph   509 meV per atom

=====

# 2
First-principles (PBE) data for an optimized crystal structure of MgMoH4, as listed in Alexandria via LeMat-Bulk.

a b c (Å): 4.5417 4.5417 5.4735
angles (deg): 114.51 114.51 90.00
Site moments in Bohr magnetons follow the coordinates.
Fractional positions:
1 H 0.6060 0.1250 0.7500  0.00
2 Mg 0.7500 0.2500 0.5000  0.00
3 Mo 0.2500 0.7500 0.5000  0.54
4 H 0.3750 0.3940 0.2500  0.00
5 H 0.8750 0.3940 0.2500  0.00
6 Mg 0.0000 0.0000 0.0000  0.00
7 H 0.1440 0.6250 0.7500  0.00
8 H 0.8750 0.8560 0.2500  0.00
9 Mo 0.5000 0.5000 0.0000  0.54
10 H 0.1440 0.1250 0.7500  0.00
11 H 0.3750 0.8560 0.2500  0.00
12 H 0.6060 0.6250 0.7500  0.00

Output
E_tot   -4.323 eV/atom

=====

# 3
First-principles (PBE) data for an optimized crystal structure of MgMoH3, as listed in Alexandria via LeMat-Bulk.

a b c (Å): 3.4636 3.4636 3.4636
angles (deg): 90.00 90.00 90.00
Fractional positions:
1 Mo 0.5000 0.5000 0.5000
2 H 0.0000 0.0000 0.5000
3 H 0.5000 0.0000 0.0000
4 H 0.0000 0.5000 0.0000
5 Mg 0.0000 0.0000 0.0000

Output
ΔE to the lowest computed polymorph   631 meV per atom

=====

# 4
First-principles (PBE) data for an optimized crystal structure of MgMo2PH, as listed in Alexandria via LeMat-Bulk.

a b c (Å): 4.8601 3.0133 4.8601
angles (deg): 90.00 90.00 90.00
Fractional positions:
1 P 0.5000 0.5000 0.5000
2 Mg 0.0000 0.0000 0.0000
3 Mo 0.5000 0.0000 0.0000
4 Mo 0.0000 0.0000 0.5000
5 H 0.0000 0.5000 0.0000

Output
E_tot   -4.996 eV/atom

=====

# 5
First-principles (PBE) data for an optimized crystal structure of MgMoHSe2, as listed in Alexandria via LeMat-Bulk.

a b c (Å): 4.9687 3.6290 4.9687
angles (deg): 90.00 90.00 90.00
Fractional positions:
1 Se 0.5000 0.0000 0.0000
2 Mo 0.0000 0.0000 0.0000
3 Mg 0.5000 0.5000 0.5000
4 Se 0.0000 0.0000 0.5000
5 H 0.0000 0.5000 0.0000

Output
E_tot   -4.665 eV/atom

=====

# 6
First-principles (PBE) data for an optimized crystal structure of TmMg2MoH8, as listed in Alexandria via LeMat-Bulk.

a b c (Å): 4.7259 4.7259 5.6791
angles (deg): 114.59 114.59 90.00
Fractional positions:
1 H 0.3672 0.3946 0.2737
2 H 0.1208 0.6328 0.7263
3 H 0.6054 0.0935 0.7263
4 Mo 0.2500 0.7500 0.5000
5 Tm 0.5000 0.5000 0.0000
6 Mg 0.0000 0.0000 0.0000
7 H 0.1208 0.0935 0.7263
8 H 0.6054 0.6328 0.7263
9 H 0.9065 0.3946 0.2737
10 H 0.9065 0.8792 0.2737
11 Mg 0.7500 0.2500 0.5000
12 H 0.3672 0.8792 0.2737

Output
E_tot   -4.026 eV/atom

=====

# 7
First-principles (PBE) data for an optimized crystal structure of YMgMo2H, as listed in Alexandria via LeMat-Bulk.

a b c (Å): 4.0696 4.8005 4.0696
angles (deg): 90.00 90.00 90.00
Fractional positions:
1 H 0.0000 0.0000 0.0000
2 Mo 0.0000 0.0000 0.5000
3 Y 0.5000 0.5000 0.5000
4 Mg 0.0000 0.5000 0.0000
5 Mo 0.5000 0.0000 0.0000

Output
E_tot   -6.307 eV/atom

=====

# 8
First-principles (PBE) data for an optimized crystal structure of MgHN, as listed in Alexandria via LeMat-Bulk.

a b c (Å): 3.1175 3.1188 6.3660
angles (deg): 90.00 76.65 90.00
Fractional positions:
1 N 0.1598 0.2500 0.6923
2 H 0.0799 0.2500 0.8588
3 Mg 0.6772 0.7500 0.6550
4 N 0.8402 0.7500 0.3078
5 Mg 0.3228 0.2500 0.3450
6 H 0.9201 0.7500 0.1412

Output
ΔE to the lowest computed polymorph   24 meV per atom